Here is a relaxed Mn5Co6 crystal from Alexandria. Energies are from PBE.

Cell lengths 6.264, 6.264, 5.574 Å; angles 90.00, 90.00, 143.11 degrees
Positions (direct):
Mn1 0.000 0.000 0.000
Mn2 0.334 0.666 0.000
Mn3 0.335 0.665 0.500
Mn4 0.665 0.335 0.500
Mn5 0.666 0.334 0.000
Co1 0.165 0.835 0.252
Co2 0.165 0.835 0.748
Co3 0.500 0.500 0.254
Co4 0.500 0.500 0.746
Co5 0.835 0.165 0.252
Co6 0.835 0.165 0.748

mass density: 7.9 Mg/m³
calculated formation energy: 206 meV/atom
DOS at the Fermi energy: 10.81 states/eV/f.u.